Material: Ta6VRh5
Method: DFT, PBE-GGA
State: relaxed

Values from the calculation:
**Total magnetization**: 0.0 μB/cell
**Energy of formation**: -0.342 eV per atom

The structure in extended XYZ format:
```
12
Lattice="-2.0747 3.6548 6.3538 2.0747 -3.6548 6.3538 2.0747 3.6548 -6.3538" Properties=species:S:1:pos:R:3 pbc="T T T"
Ta 2.0747 1.7829 -2.0908
Ta 0.0000 1.7363 0.0000
Ta 2.0747 1.7829 2.0908
Ta 0.0000 1.8719 4.2630
Ta 0.0000 5.5734 0.0000
Ta 0.0000 1.8719 8.4446
V 2.0747 0.0000 0.0000
Rh 0.0000 0.0000 2.2782
Rh 2.0747 0.0000 4.3083
Rh 0.0000 0.0000 6.3538
Rh 0.0000 3.6548 2.0455
Rh 0.0000 0.0000 10.4294
```

---

Material: TaV2Rh4
Method: DFT, PBE-GGA
State: relaxed

Values from the calculation:
**Total magnetization**: 5.7 μB/cell
**Energy of formation**: -0.262 eV per atom

The structure in extended XYZ format:
```
14
Lattice="2.2175 -3.7276 0.0000 2.2175 3.7276 0.0000 0.0000 0.0000 12.6979" Properties=species:S:1:pos:R:3 pbc="T T T"
Ta 2.2175 3.6491 9.5234
Ta 2.2175 -3.6491 3.1745
V 2.2175 1.2002 7.0916
V 2.2175 1.2002 11.9553
V 2.2175 -1.2002 0.7426
V 2.2175 -1.2002 5.6063
Rh 0.0000 0.0000 0.0000
Rh 0.0000 0.0000 6.3490
Rh 2.2175 1.3556 1.7262
Rh 2.2175 1.3556 4.6227
Rh 2.2175 1.1258 9.5234
Rh 2.2175 -1.1258 3.1745
Rh 2.2175 -1.3556 8.0752
Rh 2.2175 -1.3556 10.9717
```

---

Material: TaVRhW
Method: DFT, PBE-GGA
State: relaxed

Values from the calculation:
**Total magnetization**: 0.0 μB/cell
**Energy of formation**: -0.168 eV per atom

The structure in extended XYZ format:
```
4
Lattice="0.0000 3.1416 3.1416 3.1416 0.0000 3.1416 3.1416 3.1416 0.0000" Properties=species:S:1:pos:R:3 pbc="T T T"
Ta 0.0000 0.0000 0.0000
V 3.1416 3.1416 3.1416
Rh 4.7124 4.7124 4.7124
W 1.5708 1.5708 1.5708
```

---

Material: ZrTaV2Rh
Method: DFT, PBE-GGA
State: relaxed

Values from the calculation:
**Total magnetization**: 1.6 μB/cell
**Energy of formation**: 1.485 eV per atom

The structure in extended XYZ format:
```
5
Lattice="4.5548 0.0000 0.0000 0.0000 4.5548 0.0000 0.0000 0.0000 4.6962" Properties=species:S:1:pos:R:3 pbc="T T T"
Zr 0.0000 0.0000 0.0000
Ta 2.2774 2.2774 2.3481
V 0.0000 2.2774 0.0000
V 2.2774 0.0000 0.0000
Rh 0.0000 0.0000 2.3481
```

---

Material: Ta2RhW
Method: DFT, PBE-GGA
State: relaxed

Values from the calculation:
**Total magnetization**: 0.0 μB/cell
**Energy of formation**: 0.688 eV per atom

The structure in extended XYZ format:
```
8
Lattice="-1.9156 1.9156 9.8177 1.9156 -1.9156 9.8177 1.9156 1.9156 -9.8177" Properties=species:S:1:pos:R:3 pbc="T T T"
Ta 2.8734 0.9408 -2.4544
Ta 0.9408 0.9578 2.4544
Ta -0.9578 0.9748 7.3633
Ta 0.9748 0.9578 12.2721
Rh 1.9156 0.0000 4.9088
Rh 0.0000 0.0000 9.8177
W 0.0000 0.0000 0.0000
W 0.0000 1.9156 4.9088
```

---

Material: Ta2RhW
Method: DFT, PBE-GGA
State: relaxed

Values from the calculation:
**Total magnetization**: 0.0 μB/cell
**Energy of formation**: -0.286 eV per atom

The structure in extended XYZ format:
```
4
Lattice="3.2402 0.0000 0.0000 0.0000 3.2402 0.0000 0.0000 0.0000 6.3540" Properties=species:S:1:pos:R:3 pbc="T T T"
Ta 0.0000 0.0000 1.5623
Ta 0.0000 0.0000 4.7917
Rh 1.6201 1.6201 3.1770
W 1.6201 1.6201 0.0000
```

---

Material: Ta3RhW
Method: DFT, PBE-GGA
State: relaxed

Values from the calculation:
**Total magnetization**: 0.0 μB/cell
**Energy of formation**: 1.662 eV per atom

The structure in extended XYZ format:
```
5
Lattice="4.8071 0.0000 0.0000 0.0000 4.8071 0.0000 0.0000 0.0000 4.8071" Properties=species:S:1:pos:R:3 pbc="T T T"
Ta 0.0000 0.0000 2.4035
Ta 0.0000 2.4035 0.0000
Ta 2.4035 0.0000 0.0000
Rh 2.4035 2.4035 2.4035
W 0.0000 0.0000 0.0000
```

---

Material: Ta2Rh9W
Method: DFT, PBE-GGA
State: relaxed

Values from the calculation:
**Total magnetization**: 0.0 μB/cell
**Energy of formation**: -0.490 eV per atom

The structure in extended XYZ format:
```
12
Lattice="3.8882 0.0000 0.0000 0.0000 3.8882 0.0000 0.0000 0.0000 11.6703" Properties=species:S:1:pos:R:3 pbc="T T T"
Ta 0.0000 0.0000 1.9307
Ta 0.0000 0.0000 9.7396
Rh 0.0000 1.9441 0.0000
Rh 0.0000 1.9441 3.9363
Rh 0.0000 1.9441 7.7340
Rh 1.9441 0.0000 0.0000
Rh 1.9441 0.0000 3.9363
Rh 1.9441 0.0000 7.7340
Rh 1.9441 1.9441 1.9652
Rh 1.9441 1.9441 5.8352
Rh 1.9441 1.9441 9.7051
W 0.0000 0.0000 5.8352
```